[1]
Compound: NaIrRh2
Source: Alexandria via LeMat-Bulk
Functional: GGA-PBE
Structure: relaxed

Unit cell a=5.828 b=5.828 c=5.828 alpha=102.28 beta=102.28 gamma=125.07
Positions (direct):
Na: 0.000 0.000 0.000
Na: 0.750 0.250 0.500
Ir: 0.250 0.750 0.500
Ir: 0.500 0.500 0.000
Rh: 0.172 0.625 0.047
Rh: 0.375 0.422 0.547
Rh: 0.578 0.125 0.953
Rh: 0.875 0.828 0.453

Output
- Fermi-level density of states: 7.30 states/eV/f.u.
- Energy relative to the lowest polymorph listed for this composition: 205.0 meV per atom
- ΔH_f (0 K): 0.68 eV per atom

[2]
Compound: HfTl2Se3
Source: Alexandria via LeMat-Bulk
Functional: GGA-PBE
Structure: relaxed

Unit cell a=7.643 b=7.643 c=7.213 alpha=96.00 beta=96.00 gamma=68.61
Positions (direct):
Hf: 0.078 0.922 0.750
Hf: 0.922 0.078 0.250
Tl: 0.194 0.496 0.342
Tl: 0.496 0.194 0.842
Tl: 0.504 0.806 0.158
Tl: 0.806 0.504 0.658
Se: 0.108 0.178 0.007
Se: 0.178 0.108 0.507
Se: 0.368 0.632 0.750
Se: 0.632 0.368 0.250
Se: 0.822 0.892 0.493
Se: 0.892 0.822 0.993

Output
- Formation energy from raw total energies: -5.1 eV per formula unit

[3]
Compound: Sc6BiS3
Source: Alexandria via LeMat-Bulk
Functional: GGA-PBE
Structure: relaxed

Unit cell a=10.516 b=3.614 c=11.345 alpha=90.00 beta=102.76 gamma=90.00
Positions (direct):
Sc: 0.030 0.250 0.132
Sc: 0.128 0.750 0.467
Sc: 0.189 0.250 0.740
Sc: 0.304 0.750 0.038
Sc: 0.312 0.250 0.281
Sc: 0.415 0.250 0.594
Sc: 0.585 0.750 0.406
Sc: 0.688 0.750 0.719
Sc: 0.696 0.250 0.962
Sc: 0.811 0.750 0.260
Sc: 0.872 0.250 0.533
Sc: 0.970 0.750 0.868
Bi: 0.443 0.750 0.821
Bi: 0.557 0.250 0.179
S: 0.020 0.750 0.652
S: 0.136 0.250 0.947
S: 0.355 0.750 0.436
S: 0.645 0.250 0.564
S: 0.864 0.750 0.053
S: 0.980 0.250 0.348

Output
- Fermi-level density of states: 7.71 states/eV/f.u.
- Formation energy from raw total energies: -12.3 eV per formula unit

Computed calculated total energy, in the same sequence as the records: -5.54 -5.03 -6.65 eV/atom.